1.
Below is an optimized crystal structure of CeSm2DyTl4, with properties calculated at the PBE level.

Values from the calculation:
* volume: 28.77 Å³/atom
* spin magnetization: 1.1 μB/f.u.

a = 9.486 Å, b = 9.486 Å, c = 9.486 Å
α = 33.39°, β = 33.39°, γ = 33.39°
Element x y z (fractional)
Ce (0.000, 0.000, 0.000)
Sm (0.249, 0.249, 0.249)
Sm (0.751, 0.751, 0.751)
Dy (0.500, 0.500, 0.500)
Tl (0.126, 0.126, 0.126)
Tl (0.376, 0.376, 0.376)
Tl (0.624, 0.624, 0.624)
Tl (0.874, 0.874, 0.874)

=====

2.
Below is an optimized crystal structure of TbPr3Sm6Ho2, with properties calculated at the PBE level.

Values from the calculation:
* volume: 33.77 Å³/atom
* spin magnetization: 0.0 μB/f.u.

a = 6.288 Å, b = 6.288 Å, c = 12.021 Å
α = 95.01°, β = 95.01°, γ = 120.00°
Element x y z (fractional)
Tb (0.000, 0.000, 0.000)
Pr (0.167, 0.833, 0.500)
Pr (0.500, 0.500, 0.500)
Pr (0.833, 0.167, 0.500)
Sm (0.082, 0.415, 0.245)
Sm (0.252, 0.252, 0.755)
Sm (0.415, 0.082, 0.245)
Sm (0.585, 0.918, 0.755)
Sm (0.748, 0.748, 0.245)
Sm (0.918, 0.585, 0.755)
Ho (0.333, 0.667, 0.000)
Ho (0.667, 0.333, 0.000)

=====

3.
Below is an optimized crystal structure of CdAg2P, with properties calculated at the PBE level.

Values from the calculation:
* excess energy over the best structure of this formula in the dataset: 82.6 meV per atom
* volume: 18.31 Å³/atom
* spin magnetization: 0.0 μB/f.u.

a = 5.126 Å, b = 5.126 Å, c = 2.997 Å
α = 90.00°, β = 90.00°, γ = 111.56°
Element x y z (fractional)
Cd (0.000, 0.000, 0.000)
Ag (0.000, 0.500, 0.500)
Ag (0.500, 0.000, 0.500)
P (0.500, 0.500, 0.000)

=====

4.
Below is an optimized crystal structure of Nd2Cd3Pd4, with properties calculated at the PBE level.

Values from the calculation:
* excess energy over the best structure of this formula in the dataset: 0.0 meV per atom
* volume: 21.29 Å³/atom
* spin magnetization: 0.0 μB/f.u.

a = 9.165 Å, b = 9.165 Å, c = 7.574 Å
α = 90.00°, β = 90.00°, γ = 142.96°
Element x y z (fractional)
Nd (0.106, 0.894, 0.918)
Nd (0.394, 0.606, 0.418)
Nd (0.606, 0.394, 0.582)
Nd (0.894, 0.106, 0.082)
Cd (0.000, 0.000, 0.500)
Cd (0.015, 0.485, 0.750)
Cd (0.485, 0.015, 0.250)
Cd (0.500, 0.500, 0.000)
Cd (0.515, 0.985, 0.750)
Cd (0.985, 0.515, 0.250)
Pd (0.162, 0.838, 0.527)
Pd (0.176, 0.324, 0.750)
Pd (0.324, 0.176, 0.250)
Pd (0.338, 0.662, 0.027)
Pd (0.662, 0.338, 0.973)
Pd (0.676, 0.824, 0.750)
Pd (0.824, 0.676, 0.250)
Pd (0.838, 0.162, 0.473)

=====

5.
Below is an optimized crystal structure of ThPd8Pb2, with properties calculated at the PBE level.

Values from the calculation:
* excess energy over the best structure of this formula in the dataset: 0.0 meV per atom
* volume: 18.65 Å³/atom
* spin magnetization: 0.0 μB/f.u.

a = 5.433 Å, b = 5.435 Å, c = 7.123 Å
α = 98.13°, β = 97.45°, γ = 95.25°
Element x y z (fractional)
Th (0.000, 0.000, 0.000)
Pd (0.045, 0.354, 0.323)
Pd (0.185, 0.873, 0.395)
Pd (0.257, 0.550, 0.031)
Pd (0.483, 0.861, 0.803)
Pd (0.517, 0.139, 0.197)
Pd (0.743, 0.450, 0.969)
Pd (0.815, 0.127, 0.605)
Pd (0.955, 0.646, 0.677)
Pb (0.355, 0.316, 0.662)
Pb (0.645, 0.684, 0.338)

=====

6.
Below is an optimized crystal structure of HgPAuO2, with properties calculated at the PBE level.

Values from the calculation:
* excess energy over the best structure of this formula in the dataset: 345.7 meV per atom
* uncorrected formation energy: 873 meV/atom
* volume: 17.97 Å³/atom
* spin magnetization: 0.1 μB/f.u.

a = 4.027 Å, b = 4.027 Å, c = 5.540 Å
α = 90.00°, β = 90.00°, γ = 90.00°
Element x y z (fractional)
Hg (0.000, 0.000, 0.000)
P (0.000, 0.000, 0.500)
Au (0.500, 0.500, 0.500)
O (0.000, 0.500, 0.000)
O (0.500, 0.000, 0.000)

=====

| no. | uncorrected energy (eV per atom) |
| --- | --- |
| 1 | -4.00 |
| 2 | -4.69 |
| 3 | -2.77 |
| 4 | -4.26 |
| 5 | -5.59 |
| 6 | -2.91 |